Here is LaOsW2F after structural relaxation from Alexandria via LeMat-Bulk. Energies are from PBE with a Hubbard U.

Unit cell a=4.4485 b=4.8984 c=4.4485 alpha=90.00 beta=90.00 gamma=90.00
Fractional coordinates of all 5 atoms:
W 0.0000 0.0000 0.5000
W 0.5000 0.0000 0.0000
Os 0.5000 0.5000 0.5000
F 0.0000 0.0000 0.0000
La 0.0000 0.5000 0.0000

Output
Calculated volume in Å³/cell: 96.93
E_tot in eV/atom: -5.779